This record from Alexandria describes an optimized crystal structure of Tb3DyAl8. The functional is GGA-PBEsol.

Properties
DFT formation energy = -0.53 eV/atom
ρ = 5.971 g/cm³
SG = R3m (160)

Lattice parameters (Å, degrees): 5.5178 5.5178 9.5660 73.24 73.24 60.00
Atoms (fractional coordinates):
Al (0.7498, 0.2499, 0.7503)
Al (0.7501, 0.2502, 0.2497)
Al (0.0000, 0.0000, 0.9999)
Tb (0.3124, 0.3124, 0.0627)
Tb (0.1876, 0.1876, 0.4373)
Dy (0.6876, 0.6876, 0.9372)
Al (0.5000, 0.5000, 0.5001)
Al (0.2499, 0.2499, 0.7503)
Al (0.7501, 0.7501, 0.2497)
Al (0.2499, 0.7498, 0.7503)
Al (0.2502, 0.7501, 0.2497)
Tb (0.8124, 0.8124, 0.5628)

---

This record from Alexandria describes an optimized crystal structure of Dy6Al43W4. The functional is GGA-PBEsol.

Properties
DFT formation energy = -0.27 eV/atom
ρ = 5.242 g/cm³
SG = P6_3/mcm (193)

Lattice parameters (Å, degrees): 10.9206 10.9206 17.6097 90.00 90.00 120.00
Atoms (fractional coordinates):
Dy (0.4679, 0.4679, 0.0955)
Al (0.6667, 0.3333, 0.6254)
Dy (0.4679, 0.0000, 0.5955)
W (0.7293, 0.0000, 0.2500)
Al (0.7530, 0.5060, 0.0000)
Al (0.8515, 0.0000, 0.7500)
Al (0.2470, 0.7530, 0.0000)
Al (0.8398, 0.8398, 0.8856)
Al (0.0000, 0.8398, 0.1144)
Al (0.1602, 0.1602, 0.1144)
Al (0.5516, 0.4040, 0.2500)
Al (0.7632, 0.6056, 0.3366)
Al (0.3333, 0.6667, 0.1254)
Al (0.3333, 0.6667, 0.6254)
Al (0.3944, 0.1577, 0.1634)
Al (0.6667, 0.3333, 0.3746)
Al (0.7457, 0.7457, 0.0302)
Al (0.4484, 0.5960, 0.7500)
Dy (0.5321, 0.5321, 0.5955)
Dy (0.0000, 0.4679, 0.9045)
W (0.2707, 0.0000, 0.7500)
Al (0.8524, 0.4484, 0.2500)
Al (0.0000, 0.2543, 0.4698)
Al (0.1602, 0.1602, 0.3856)
Dy (0.0000, 0.5321, 0.4045)
Al (0.2368, 0.3944, 0.8366)
Al (0.0000, 0.7457, 0.5302)
Al (0.2470, 0.7530, 0.5000)
Al (0.0000, 0.8515, 0.7500)
Dy (0.5321, 0.0000, 0.0955)
Al (0.5516, 0.1476, 0.7500)
Al (0.6056, 0.8423, 0.8366)
Al (0.7457, 0.0000, 0.9698)
Al (0.0000, 0.1602, 0.6144)
Al (0.4040, 0.5516, 0.2500)
W (0.0000, 0.0000, 0.5000)
Al (0.1602, 0.0000, 0.6144)
Al (0.3944, 0.2368, 0.6634)
Dy (0.4679, 0.4679, 0.4045)
Al (0.2368, 0.8423, 0.1634)
W (0.0000, 0.7293, 0.2500)
Al (0.3944, 0.1577, 0.3366)
Al (0.0000, 0.8398, 0.3856)
Al (0.8423, 0.6056, 0.6634)
Al (0.2368, 0.8423, 0.3366)
Dy (0.5321, 0.0000, 0.4045)
W (0.0000, 0.2707, 0.7500)
Al (0.8423, 0.2368, 0.3366)
Al (0.5960, 0.4484, 0.7500)
Dy (0.0000, 0.4679, 0.5955)
W (0.0000, 0.0000, 0.0000)
Al (0.6056, 0.7632, 0.3366)
Al (0.5060, 0.7530, 0.5000)
Al (0.0000, 0.1485, 0.2500)
Al (0.3944, 0.2368, 0.8366)
Al (0.6667, 0.3333, 0.8746)
Al (0.6056, 0.7632, 0.1634)
Al (0.1602, 0.0000, 0.8856)
Al (0.1577, 0.7632, 0.8366)
Dy (0.0000, 0.5321, 0.0955)
Al (0.2543, 0.2543, 0.9698)
Al (0.4940, 0.2470, 0.0000)
Al (0.1577, 0.3944, 0.1634)
Al (0.8398, 0.8398, 0.6144)
Al (0.7457, 0.0000, 0.5302)
Al (0.1476, 0.5960, 0.2500)
Al (0.2543, 0.0000, 0.0302)
Al (0.1577, 0.3944, 0.3366)
Al (0.1577, 0.7632, 0.6634)
Al (0.6667, 0.3333, 0.1254)
Al (0.4040, 0.8524, 0.7500)
Al (0.7632, 0.1577, 0.8366)
Al (0.8515, 0.8515, 0.2500)
Al (0.2470, 0.4940, 0.0000)
Al (0.2543, 0.2543, 0.5302)
Al (0.7457, 0.7457, 0.4698)
Al (0.2368, 0.3944, 0.6634)
Al (0.7530, 0.2470, 0.5000)
Al (0.7632, 0.6056, 0.1634)
Al (0.8423, 0.6056, 0.8366)
Al (0.2470, 0.4940, 0.5000)
Dy (0.4679, 0.0000, 0.9045)
Al (0.2543, 0.0000, 0.4698)
Al (0.1476, 0.5516, 0.7500)
Al (0.4484, 0.8524, 0.2500)
Al (0.5060, 0.7530, 0.0000)
Al (0.3333, 0.6667, 0.3746)
Al (0.0000, 0.1602, 0.8856)
W (0.7293, 0.7293, 0.7500)
Al (0.8423, 0.2368, 0.1634)
Dy (0.5321, 0.5321, 0.9045)
Al (0.8524, 0.4040, 0.7500)
Al (0.1485, 0.1485, 0.7500)
Al (0.3333, 0.6667, 0.8746)
Al (0.0000, 0.2543, 0.0302)
Al (0.7632, 0.1577, 0.6634)
Al (0.7530, 0.5060, 0.5000)
Al (0.4940, 0.2470, 0.5000)
Al (0.1485, 0.0000, 0.2500)
Al (0.6056, 0.8423, 0.6634)
Al (0.7530, 0.2470, 0.0000)
Al (0.5960, 0.1476, 0.2500)
W (0.2707, 0.2707, 0.2500)
Al (0.8398, 0.0000, 0.3856)
Al (0.0000, 0.7457, 0.9698)
Al (0.8398, 0.0000, 0.1144)

---

This record from Alexandria describes an optimized crystal structure of DyYAl2. The functional is GGA-PBEsol.

Properties
DFT formation energy = -0.42 eV/atom
ρ = 5.642 g/cm³
SG = Fm-3m (225)

Lattice parameters (Å, degrees): 5.0279 5.0279 5.0279 60.00 60.00 60.00
Atoms (fractional coordinates):
Dy (0.5000, 0.5000, 0.5000)
Al (0.2500, 0.2500, 0.2500)
Y (0.0000, 0.0000, 0.0000)
Al (0.7500, 0.7500, 0.7500)

---

This record from Alexandria describes an optimized crystal structure of DyAlZn. The functional is GGA-PBEsol.

Properties
DFT formation energy = -0.45 eV/atom
ρ = 7.106 g/cm³
SG = P6_3/mmc (194)

Lattice parameters (Å, degrees): 4.4241 4.4241 7.0283 90.00 90.00 120.00
Atoms (fractional coordinates):
Al (0.3333, 0.6667, 0.2500)
Zn (0.3333, 0.6667, 0.7500)
Al (0.6667, 0.3333, 0.7500)
Dy (0.0000, 0.0000, 0.5000)
Zn (0.6667, 0.3333, 0.2500)
Dy (0.0000, 0.0000, 0.0000)

---

This record from Alexandria describes an optimized crystal structure of Er2Al. The functional is GGA-PBEsol.

Properties
DFT formation energy = -0.30 eV/atom
ρ = 8.157 g/cm³
SG = Pnma (62)

Lattice parameters (Å, degrees): 4.9957 6.3834 9.2304 90.00 90.00 90.00
Atoms (fractional coordinates):
Er (0.7500, 0.6882, 0.4270)
Al (0.7500, 0.7071, 0.1020)
Er (0.7500, 0.1882, 0.0730)
Er (0.2500, 0.9730, 0.2884)
Er (0.7500, 0.0270, 0.7116)
Er (0.2500, 0.4730, 0.2116)
Al (0.2500, 0.2929, 0.8980)
Er (0.2500, 0.3118, 0.5730)
Al (0.2500, 0.7929, 0.6020)
Er (0.7500, 0.5270, 0.7884)
Al (0.7500, 0.2071, 0.3980)
Er (0.2500, 0.8118, 0.9270)

---

This record from Alexandria describes an optimized crystal structure of ErAl. The functional is GGA-PBEsol.

Properties
DFT formation energy = -0.41 eV/atom
ρ = 7.292 g/cm³
SG = Pbcm (57)

Lattice parameters (Å, degrees): 5.4982 5.7386 11.2149 90.00 90.00 90.00
Atoms (fractional coordinates):
Er (0.7500, 0.1601, 0.0158)
Er (0.2500, 0.5991, 0.6686)
Er (0.2500, 0.8399, 0.9842)
Al (0.7500, 0.3414, 0.5967)
Al (0.0000, 0.9321, 0.2500)
Al (0.2500, 0.6586, 0.4033)
Er (0.2500, 0.4009, 0.1686)
Al (0.5000, 0.9321, 0.2500)
Al (0.7500, 0.6586, 0.0967)
Er (0.7500, 0.8399, 0.5158)
Er (0.2500, 0.1601, 0.4842)
Er (0.7500, 0.4009, 0.3314)
Er (0.7500, 0.5991, 0.8314)
Al (0.0000, 0.0679, 0.7500)
Al (0.2500, 0.3414, 0.9033)
Al (0.5000, 0.0679, 0.7500)

---

This record from Alexandria describes an optimized crystal structure of ErAl6Fe6. The functional is GGA-PBEsol.

Properties
DFT formation energy = -0.38 eV/atom
ρ = 6.305 g/cm³
SG = Immm (71)

Lattice parameters (Å, degrees): 4.9136 6.4533 6.4533 80.87 67.62 67.62
Last column: magnetic moment on the atom in μB.
Atoms (fractional coordinates):
Fe (0.5000, 0.5000, 0.0000)  1.66
Er (0.0000, 0.0000, 0.0000)  -0.24
Al (0.0000, 0.3364, 0.6636)  -0.03
Al (0.0000, 0.6636, 0.3364)  -0.03
Fe (0.5000, 0.7603, 0.2397)  1.74
Al (0.3100, 0.1900, 0.1900)  -0.04
Al (0.6900, 0.8100, 0.8100)  -0.04
Fe (0.0000, 0.0000, 0.5000)  1.66
Fe (0.0000, 0.5000, 0.0000)  1.66
Fe (0.5000, 0.0000, 0.5000)  1.66
Al (0.6542, 0.3458, 0.3458)  -0.03
Fe (0.5000, 0.2397, 0.7603)  1.74
Al (0.3458, 0.6542, 0.6542)  -0.03

---

This record from Alexandria describes an optimized crystal structure of ErAlFe. The functional is GGA-PBEsol.

Properties
DFT formation energy = -0.31 eV/atom
ρ = 8.221 g/cm³
SG = Amm2 (38)

Lattice parameters (Å, degrees): 5.2646 5.2845 8.3762 90.00 90.00 119.88
Last column: magnetic moment on the atom in μB.
Atoms (fractional coordinates):
Fe (0.1697, 0.8412, 0.0000)  -0.02
Er (0.3384, 0.6767, 0.2987)  -0.18
Er (0.3384, 0.6767, 0.7013)  -0.18
Er (0.6680, 0.3361, 0.8159)  -0.27
Fe (0.6715, 0.8412, 0.0000)  -0.02
Er (0.6680, 0.3361, 0.1841)  -0.27
Al (0.1641, 0.3282, 0.0000)  1.50
Fe (0.9907, 0.9815, 0.7637)  -0.02
Al (0.3260, 0.1644, 0.5000)  1.50
Al (0.8384, 0.1644, 0.5000)  1.75
Fe (0.9907, 0.9815, 0.2363)  -0.03
Al (0.8359, 0.6717, 0.5000)  1.75

---

This record from Alexandria describes an optimized crystal structure of Er2Al3Fe14. The functional is GGA-PBEsol.

Properties
DFT formation energy = -0.11 eV/atom
ρ = 8.267 g/cm³
SG = P6_3/mmc (194)

Lattice parameters (Å, degrees): 8.1561 8.2520 8.2520 120.00 90.00 90.00
Last column: magnetic moment on the atom in μB.
Atoms (fractional coordinates):
Fe (0.4865, 0.8382, 0.1618)  1.46
Fe (0.2500, 0.0296, 0.3509)  1.96
Fe (0.1138, 0.3333, 0.6667)  2.29
Fe (0.4865, 0.3236, 0.1618)  1.46
Fe (0.8862, 0.6667, 0.3333)  2.29
Al (0.0000, 0.5000, 0.0000)  -0.07
Fe (0.5135, 0.1618, 0.3236)  1.46
Fe (0.7500, 0.3509, 0.3213)  1.96
Fe (0.7500, 0.6787, 0.0296)  1.96
Al (0.0000, 0.0000, 0.5000)  -0.07
Fe (0.9865, 0.1618, 0.3236)  1.46
Fe (0.9865, 0.1618, 0.8382)  1.46
Fe (0.4865, 0.8382, 0.6764)  1.46
Al (0.5000, 0.0000, 0.5000)  -0.07
Fe (0.2500, 0.3213, 0.9704)  1.96
Fe (0.2500, 0.3213, 0.3509)  1.96
Fe (0.3862, 0.3333, 0.6667)  2.29
Fe (0.0135, 0.3236, 0.1618)  1.46
Fe (0.7500, 0.6787, 0.6491)  1.96
Al (0.0000, 0.5000, 0.5000)  -0.07
Fe (0.9865, 0.6764, 0.8382)  1.46
Fe (0.7500, 0.3509, 0.0296)  1.96
Al (0.5000, 0.5000, 0.5000)  -0.07
Fe (0.0135, 0.8382, 0.6764)  1.46
Er (0.7500, 0.3333, 0.6667)  -0.33
Al (0.5000, 0.5000, 0.0000)  -0.07
Er (0.2500, 0.6667, 0.3333)  -0.33
Er (0.7500, 0.0000, 0.0000)  -0.27
Fe (0.7500, 0.9704, 0.3213)  1.96
Fe (0.5135, 0.1618, 0.8382)  1.46
Fe (0.2500, 0.6491, 0.6787)  1.96
Er (0.2500, 0.0000, 0.0000)  -0.27
Fe (0.5135, 0.6764, 0.8382)  1.46
Fe (0.2500, 0.6491, 0.9704)  1.96
Fe (0.7500, 0.9704, 0.6491)  1.96
Fe (0.0135, 0.8382, 0.1618)  1.46
Fe (0.2500, 0.0296, 0.6787)  1.96
Fe (0.6138, 0.6667, 0.3333)  2.29

---

This record from Alexandria describes an optimized crystal structure of ErAl9Fe4Si6. The functional is GGA-PBEsol.

Properties
ρ = 4.820 g/cm³
SG = P4_2/nmc (137)
energy relative to the elements, uncorrected = -0.4531 eV per atom

Lattice parameters (Å, degrees): 8.5755 8.5755 15.0286 90.00 90.00 90.00
Atoms (fractional coordinates):
Si (0.5000, 0.2384, 0.0611)
Al (0.7464, 0.7038, 0.6689)
Al (0.5000, 0.5000, 0.7272)
Si (0.6574, 0.5000, 0.5566)
Al (0.7536, 0.2038, 0.8311)
Al (0.0000, 0.1562, 0.6020)
Al (0.3169, 0.0000, 0.0890)
Al (0.1562, 0.0000, 0.3980)
Si (0.5000, 0.3426, 0.4434)
Al (0.7962, 0.7536, 0.1689)
Fe (0.7552, 0.2448, 0.0000)
Er (0.0000, 0.5000, 0.5862)
Fe (0.5000, 0.7782, 0.7500)
Al (0.5000, 0.8169, 0.5890)
Fe (0.2448, 0.2448, 0.0000)
Al (0.5000, 0.6562, 0.8980)
Fe (0.2448, 0.7552, 0.0000)
Al (0.6562, 0.5000, 0.1020)
Si (0.0000, 0.8426, 0.0566)
Si (0.1574, 0.0000, 0.9434)
Al (0.0000, 0.8438, 0.6020)
Si (0.8426, 0.0000, 0.9434)
Si (0.6384, 0.0000, 0.7210)
Al (0.2464, 0.7962, 0.8311)
Si (0.7384, 0.0000, 0.5611)
Fe (0.0000, 0.2782, 0.7500)
Al (0.2962, 0.7464, 0.3311)
Er (0.5000, 0.0000, 0.9138)
Si (0.2616, 0.0000, 0.5611)
Er (0.5000, 0.0000, 0.4138)
Si (0.5000, 0.7616, 0.0611)
Al (0.5000, 0.1831, 0.5890)
Si (0.8616, 0.5000, 0.7790)
Si (0.5000, 0.1384, 0.2210)
Fe (0.7448, 0.2552, 0.5000)
Si (0.3616, 0.0000, 0.7210)
Al (0.3438, 0.5000, 0.1020)
Fe (0.2552, 0.7448, 0.5000)
Si (0.0000, 0.7384, 0.4389)
Al (0.8169, 0.5000, 0.4110)
Si (0.0000, 0.2616, 0.4389)
Al (0.2464, 0.2038, 0.8311)
Si (0.0000, 0.6384, 0.2790)
Si (0.3426, 0.5000, 0.5566)
Al (0.2536, 0.7038, 0.6689)
Fe (0.2218, 0.5000, 0.2500)
Al (0.8438, 0.0000, 0.3980)
Fe (0.0000, 0.7218, 0.7500)
Al (0.2962, 0.2536, 0.3311)
Al (0.7464, 0.2962, 0.6689)
Fe (0.2782, 0.0000, 0.2500)
Fe (0.7448, 0.7448, 0.5000)
Fe (0.2552, 0.2552, 0.5000)
Si (0.5000, 0.6574, 0.4434)
Si (0.5000, 0.8616, 0.2210)
Si (0.7616, 0.5000, 0.9389)
Al (0.5000, 0.5000, 0.2728)
Fe (0.7782, 0.5000, 0.2500)
Al (0.2038, 0.2464, 0.1689)
Fe (0.7218, 0.0000, 0.2500)
Al (0.5000, 0.3438, 0.8980)
Si (0.2384, 0.5000, 0.9389)
Si (0.1384, 0.5000, 0.7790)
Al (0.0000, 0.0000, 0.2272)
Fe (0.7552, 0.7552, 0.0000)
Al (0.0000, 0.3169, 0.9110)
Er (0.0000, 0.5000, 0.0862)
Al (0.7038, 0.7464, 0.3311)
Al (0.7962, 0.2464, 0.1689)
Al (0.2038, 0.7536, 0.1689)
Al (0.1831, 0.5000, 0.4110)
Fe (0.5000, 0.2218, 0.7500)
Si (0.0000, 0.1574, 0.0566)
Al (0.6831, 0.0000, 0.0890)
Al (0.0000, 0.6831, 0.9110)
Al (0.7536, 0.7962, 0.8311)
Al (0.0000, 0.0000, 0.7728)
Al (0.7038, 0.2536, 0.3311)
Al (0.2536, 0.2962, 0.6689)
Si (0.0000, 0.3616, 0.2790)

---

This record from Alexandria describes an optimized crystal structure of GdErAl6. The functional is GGA-PBEsol.

Properties
DFT formation energy = -0.44 eV/atom
ρ = 5.363 g/cm³
SG = R3m (160)
E above lowest polymorph = 0.08 eV/f.u.

Lattice parameters (Å, degrees): 6.0884 6.0884 14.5073 77.89 77.89 60.00
Last column: magnetic moment on the atom in μB.
Atoms (fractional coordinates):
Al (0.9984, 0.4987, 0.5046)  0.00
Er (0.4985, 0.4985, 0.5044)  0.00
Al (0.9996, 0.4985, 0.0035)  0.00
Al (0.4985, 0.9996, 0.0035)  0.00
Al (0.1268, 0.5773, 0.1692)  -0.01
Al (0.0774, 0.6261, 0.6704)  0.01
Al (0.9984, 0.9984, 0.5046)  0.00
Al (0.4985, 0.4985, 0.0035)  0.00
Al (0.8701, 0.4207, 0.8391)  0.00
Al (0.4207, 0.8701, 0.8391)  0.00
Gd (0.1078, 0.1078, 0.6765)  -6.98
Gd (0.6082, 0.6082, 0.1753)  6.96
Al (0.3705, 0.3705, 0.3390)  -0.01
Er (0.9987, 0.9987, 0.0039)  -0.01
Er (0.3891, 0.3891, 0.8328)  0.01
Al (0.1268, 0.1268, 0.1692)  -0.01
Al (0.4987, 0.9984, 0.5046)  0.00
Gd (0.8891, 0.8891, 0.3326)  6.97
Al (0.5773, 0.1268, 0.1692)  -0.01
Al (0.8701, 0.8701, 0.8391)  0.00
Al (0.3705, 0.9200, 0.3390)  -0.01
Al (0.6261, 0.0774, 0.6704)  0.01
Al (0.9200, 0.3705, 0.3390)  -0.01
Al (0.6261, 0.6261, 0.6704)  0.01

---

This record from Alexandria describes an optimized crystal structure of GdErAl6. The functional is GGA-PBEsol.

Properties
DFT formation energy = -0.45 eV/atom
ρ = 5.389 g/cm³
SG = P6_3/mmc (194)
E above lowest polymorph = 0.00 eV/f.u.

Lattice parameters (Å, degrees): 6.0527 6.0527 9.4476 90.00 90.00 120.00
Last column: magnetic moment on the atom in μB.
Atoms (fractional coordinates):
Er (0.3333, 0.6667, 0.7500)  -0.03
Al (0.0000, 0.5000, 0.0000)  -0.01
Al (0.8184, 0.1816, 0.7500)  -0.01
Al (0.3633, 0.1816, 0.7500)  -0.01
Al (0.1816, 0.3633, 0.2500)  -0.01
Gd (0.0000, 0.0000, 0.0000)  6.97
Al (0.0000, 0.5000, 0.5000)  -0.01
Al (0.1816, 0.8184, 0.2500)  -0.01
Er (0.6667, 0.3333, 0.2500)  -0.03
Al (0.5000, 0.5000, 0.5000)  -0.01
Al (0.5000, 0.0000, 0.5000)  -0.01
Al (0.6367, 0.8184, 0.2500)  -0.01
Gd (0.0000, 0.0000, 0.5000)  6.97
Al (0.5000, 0.0000, 0.0000)  -0.01
Al (0.5000, 0.5000, 0.0000)  -0.01
Al (0.8184, 0.6367, 0.7500)  -0.01

---

Electronic total energy (computed, eV per cell): -59.11 -551.06 -21.66 -24.00 -59.33 -78.76 -88.23 -75.59 -299.33 -484.59 -142.34 -95.05